# DyAsAuO | OQMD | PBE-GGA | relaxed
data_DyAsAuO
_chemical_formula_sum 'Dy2 As2 Au2 O2'
_symmetry_space_group_name_H-M 'P 1'
_symmetry_Int_Tables_number 1
_symmetry_space_group_name_Hall 'P 1'
_cell_length_a 5.662
_cell_length_b 4.241
_cell_length_c 6.135
_cell_angle_alpha 90.00
_cell_angle_beta 90.00
_cell_angle_gamma 90.00
loop_
_atom_site_label
_atom_site_type_symbol
_atom_site_fract_x
_atom_site_fract_y
_atom_site_fract_z
As1 As 0.000 0.993 0.234
As2 As 0.000 0.007 0.734
Au1 Au 0.000 0.497 0.486
Au2 Au 0.000 0.503 0.986
Dy1 Dy 0.500 0.218 0.093
Dy2 Dy 0.500 0.782 0.593
O1 O 0.500 0.304 0.440
O2 O 0.500 0.696 0.940
# * electronic total energy: -5.783 eV per atom